# Li2PrVF8 | Alexandria | PBE with a Hubbard U | relaxed
# - total DFT energy (no corrections) (eV/atom) = -5.82
data_Li2PrVF8
_chemical_formula_sum 'Li2 Pr1 V1 F8'
_cell_length_a 4.224
_cell_length_b 5.016
_cell_length_c 7.260
_cell_angle_alpha 95.69
_cell_angle_beta 91.03
_cell_angle_gamma 93.25
_space_group_name_H-M_alt 'P -1'
_space_group_IT_number 2
_space_group_name_Hall '-P 1'
loop_
_atom_site_label
_atom_site_fract_x
_atom_site_fract_y
_atom_site_fract_z
_atom_site_occupancy
Li1 0.033 0.465 0.302 1
Pr1 0.500 0.000 0.000 1
V1 0.500 0.000 0.500 1
F1 0.068 0.258 0.055 1
F2 0.163 0.253 0.513 1
F3 0.342 0.768 0.265 1
F4 0.357 0.775 0.699 1